No. 1
# SCAN ZnCo, PBEsol geometry
data_ZnCo
_chemical_formula_sum 'Zn2 Co2'
_cell_length_a 4.2666
_cell_length_b 4.2666
_cell_length_c 4.2666
_cell_angle_alpha 128.46
_cell_angle_beta 128.46
_cell_angle_gamma 75.87
_symmetry_space_group_name_H-M 'P 1'
_symmetry_Int_Tables_number 1
loop_
_symmetry_equiv_pos_as_xyz
'x,y,z'
loop_
_atom_site_label
_atom_site_type_symbol
_atom_site_fract_x
_atom_site_fract_y
_atom_site_fract_z
Zn1 Zn 0.3750 0.6250 0.7500
Zn2 Zn 0.6250 0.3750 0.2500
Co1 Co 0.1250 0.8750 0.2500
Co2 Co 0.8750 0.1250 0.7500
# DOS(E_F): 2.75 states/eV/cell
# electronic total energy: -61.47 eV for the cell shown
# formation enthalpy at 0 K: 42 meV/atom

---

No. 2
# SCAN ZnCo3, PBEsol geometry
data_ZnCo3
_chemical_formula_sum 'Zn1 Co3'
_cell_length_a 4.7402
_cell_length_b 4.7402
_cell_length_c 4.7402
_cell_angle_alpha 148.58
_cell_angle_beta 62.55
_cell_angle_gamma 127.42
_symmetry_space_group_name_H-M 'P 1'
_symmetry_Int_Tables_number 1
loop_
_symmetry_equiv_pos_as_xyz
'x,y,z'
loop_
_atom_site_label
_atom_site_type_symbol
_atom_site_fract_x
_atom_site_fract_y
_atom_site_fract_z
Zn1 Zn 0.0000 0.0000 0.0000
Co1 Co 0.1321 0.3750 0.7571
Co2 Co 0.5032 0.0032 0.5000
Co3 Co 0.6179 0.3750 0.2429
# DOS(E_F): 2.93 states/eV/cell
# electronic total energy: -65.07 eV for the cell shown
# formation enthalpy at 0 K: 88 meV/atom

---

No. 3
# SCAN ZnCo3, PBEsol geometry
data_ZnCo3
_chemical_formula_sum 'Zn1 Co3'
_cell_length_a 4.6573
_cell_length_b 4.6573
_cell_length_c 4.6573
_cell_angle_alpha 145.29
_cell_angle_beta 129.62
_cell_angle_gamma 62.63
_symmetry_space_group_name_H-M 'P 1'
_symmetry_Int_Tables_number 1
loop_
_symmetry_equiv_pos_as_xyz
'x,y,z'
loop_
_atom_site_label
_atom_site_type_symbol
_atom_site_fract_x
_atom_site_fract_y
_atom_site_fract_z
Zn1 Zn 0.0000 0.0000 0.0000
Co1 Co 0.2552 0.7552 0.5000
Co2 Co 0.5000 0.5000 0.0000
Co3 Co 0.7448 0.2448 0.5000
# DOS(E_F): 2.56 states/eV/cell
# electronic total energy: -65.33 eV for the cell shown
# formation enthalpy at 0 K: 24 meV/atom

---

No. 4
# SCAN Zn3Co, PBEsol geometry
data_Zn3Co
_chemical_formula_sum 'Zn3 Co1'
_cell_length_a 4.6084
_cell_length_b 4.6084
_cell_length_c 4.6084
_cell_angle_alpha 134.39
_cell_angle_beta 134.39
_cell_angle_gamma 66.48
_symmetry_space_group_name_H-M 'P 1'
_symmetry_Int_Tables_number 1
loop_
_symmetry_equiv_pos_as_xyz
'x,y,z'
loop_
_atom_site_label
_atom_site_type_symbol
_atom_site_fract_x
_atom_site_fract_y
_atom_site_fract_z
Zn1 Zn 0.0000 0.0000 0.0000
Zn2 Zn 0.2500 0.7500 0.5000
Zn3 Zn 0.7500 0.2500 0.5000
Co1 Co 0.5000 0.5000 0.0000
# DOS(E_F): 1.25 states/eV/cell
# electronic total energy: -58.01 eV for the cell shown
# formation enthalpy at 0 K: -40 meV/atom

---

No. 5
# SCAN ZnCo2, PBEsol geometry
data_ZnCo2
_chemical_formula_sum 'Zn1 Co2'
_cell_length_a 4.4019
_cell_length_b 4.4019
_cell_length_c 4.4019
_cell_angle_alpha 146.10
_cell_angle_beta 135.04
_cell_angle_gamma 57.48
_symmetry_space_group_name_H-M 'P 1'
_symmetry_Int_Tables_number 1
loop_
_symmetry_equiv_pos_as_xyz
'x,y,z'
loop_
_atom_site_label
_atom_site_type_symbol
_atom_site_fract_x
_atom_site_fract_y
_atom_site_fract_z
Zn1 Zn 0.0000 0.0000 0.0000
Co1 Co 0.3252 0.3252 0.0000
Co2 Co 0.6748 0.6748 0.0000
# DOS(E_F): 2.00 states/eV/cell
# electronic total energy: -47.98 eV for the cell shown
# formation enthalpy at 0 K: 47 meV/atom

---

No. 6
# SCAN Zn3Co, PBEsol geometry
data_Zn3Co
_chemical_formula_sum 'Zn3 Co1'
_cell_length_a 4.1146
_cell_length_b 4.1146
_cell_length_c 4.1146
_cell_angle_alpha 60.00
_cell_angle_beta 60.00
_cell_angle_gamma 60.00
_symmetry_space_group_name_H-M 'P 1'
_symmetry_Int_Tables_number 1
loop_
_symmetry_equiv_pos_as_xyz
'x,y,z'
loop_
_atom_site_label
_atom_site_type_symbol
_atom_site_fract_x
_atom_site_fract_y
_atom_site_fract_z
Zn1 Zn 0.0000 0.0000 0.0000
Zn2 Zn 0.2500 0.2500 0.2500
Zn3 Zn 0.7500 0.7500 0.7500
Co1 Co 0.5000 0.5000 0.5000
# DOS(E_F): 0.81 states/eV/cell
# electronic total energy: -57.86 eV for the cell shown
# formation enthalpy at 0 K: -4 meV/atom

---

No. 7
# SCAN Zn5Co, PBEsol geometry
data_Zn5Co
_chemical_formula_sum 'Zn5 Co1'
_cell_length_a 4.8074
_cell_length_b 4.8074
_cell_length_c 4.2020
_cell_angle_alpha 90.00
_cell_angle_beta 90.00
_cell_angle_gamma 120.00
_symmetry_space_group_name_H-M 'P 1'
_symmetry_Int_Tables_number 1
loop_
_symmetry_equiv_pos_as_xyz
'x,y,z'
loop_
_atom_site_label
_atom_site_type_symbol
_atom_site_fract_x
_atom_site_fract_y
_atom_site_fract_z
Zn1 Zn 0.0000 0.5000 0.0000
Zn2 Zn 0.3333 0.6667 0.5000
Zn3 Zn 0.5000 0.0000 0.0000
Zn4 Zn 0.5000 0.5000 0.0000
Zn5 Zn 0.6667 0.3333 0.5000
Co1 Co 0.0000 0.0000 0.5000
# DOS(E_F): 1.84 states/eV/cell
# electronic total energy: -83.48 eV for the cell shown
# formation enthalpy at 0 K: 233 meV/atom

---

No. 8
# SCAN ZnCo2, PBEsol geometry
data_ZnCo2
_chemical_formula_sum 'Zn1 Co2'
_cell_length_a 2.5214
_cell_length_b 2.5214
_cell_length_c 6.1081
_cell_angle_alpha 90.00
_cell_angle_beta 90.00
_cell_angle_gamma 120.00
_symmetry_space_group_name_H-M 'P 1'
_symmetry_Int_Tables_number 1
loop_
_symmetry_equiv_pos_as_xyz
'x,y,z'
loop_
_atom_site_label
_atom_site_type_symbol
_atom_site_fract_x
_atom_site_fract_y
_atom_site_fract_z
Zn1 Zn 0.0000 0.0000 0.0000
Co1 Co 0.3333 0.6667 0.6535
Co2 Co 0.6667 0.3333 0.3465
# DOS(E_F): 1.37 states/eV/cell
# electronic total energy: -48.00 eV for the cell shown
# formation enthalpy at 0 K: 41 meV/atom

---

No. 9
# SCAN Zn5Co, PBEsol geometry
data_Zn5Co
_chemical_formula_sum 'Zn5 Co1'
_cell_length_a 5.0038
_cell_length_b 5.0038
_cell_length_c 6.2063
_cell_angle_alpha 104.96
_cell_angle_beta 104.96
_cell_angle_gamma 31.14
_symmetry_space_group_name_H-M 'P 1'
_symmetry_Int_Tables_number 1
loop_
_symmetry_equiv_pos_as_xyz
'x,y,z'
loop_
_atom_site_label
_atom_site_type_symbol
_atom_site_fract_x
_atom_site_fract_y
_atom_site_fract_z
Zn1 Zn 0.0000 0.0000 0.0000
Zn2 Zn 0.0475 0.0475 0.6179
Zn3 Zn 0.3859 0.3859 0.2849
Zn4 Zn 0.6742 0.6742 0.3585
Zn5 Zn 0.7286 0.7286 0.9282
Co1 Co 0.3346 0.3346 0.6689
# DOS(E_F): 2.02 states/eV/cell
# electronic total energy: -84.86 eV for the cell shown
# formation enthalpy at 0 K: 4 meV/atom

---

No. 10
# SCAN ZnCo3, PBEsol geometry
data_ZnCo3
_chemical_formula_sum 'Zn1 Co3'
_cell_length_a 2.5225
_cell_length_b 4.0366
_cell_length_c 4.2892
_cell_angle_alpha 90.00
_cell_angle_beta 90.00
_cell_angle_gamma 90.00
_symmetry_space_group_name_H-M 'P 1'
_symmetry_Int_Tables_number 1
loop_
_symmetry_equiv_pos_as_xyz
'x,y,z'
loop_
_atom_site_label
_atom_site_type_symbol
_atom_site_fract_x
_atom_site_fract_y
_atom_site_fract_z
Zn1 Zn 0.0000 0.0000 0.0000
Co1 Co 0.0000 0.5000 0.6617
Co2 Co 0.5000 0.0000 0.4984
Co3 Co 0.5000 0.5000 0.1748
# DOS(E_F): 2.79 states/eV/cell
# electronic total energy: -65.12 eV for the cell shown
# formation enthalpy at 0 K: 78 meV/atom

---

No. 11
# SCAN Zn3Co, PBEsol geometry
data_Zn3Co
_chemical_formula_sum 'Zn3 Co1'
_cell_length_a 2.7207
_cell_length_b 4.1203
_cell_length_c 4.4174
_cell_angle_alpha 90.00
_cell_angle_beta 90.00
_cell_angle_gamma 90.00
_symmetry_space_group_name_H-M 'P 1'
_symmetry_Int_Tables_number 1
loop_
_symmetry_equiv_pos_as_xyz
'x,y,z'
loop_
_atom_site_label
_atom_site_type_symbol
_atom_site_fract_x
_atom_site_fract_y
_atom_site_fract_z
Zn1 Zn 0.0000 0.0000 0.0000
Zn2 Zn 0.0000 0.5000 0.3566
Zn3 Zn 0.5000 0.5000 0.8353
Co1 Co 0.5000 0.0000 0.4995
# DOS(E_F): 1.31 states/eV/cell
# electronic total energy: -57.80 eV for the cell shown
# formation enthalpy at 0 K: 11 meV/atom

---

No. 12
# SCAN ZnCo3, PBEsol geometry
data_ZnCo3
_chemical_formula_sum 'Zn4 Co12'
_cell_length_a 4.3410
_cell_length_b 8.1168
_cell_length_c 4.9422
_cell_angle_alpha 90.00
_cell_angle_beta 90.00
_cell_angle_gamma 90.00
_symmetry_space_group_name_H-M 'P 1'
_symmetry_Int_Tables_number 1
loop_
_symmetry_equiv_pos_as_xyz
'x,y,z'
loop_
_atom_site_label
_atom_site_type_symbol
_atom_site_fract_x
_atom_site_fract_y
_atom_site_fract_z
Zn1 Zn 0.0702 0.2500 0.1246
Zn2 Zn 0.4298 0.7500 0.6246
Zn3 Zn 0.5702 0.2500 0.3754
Zn4 Zn 0.9298 0.7500 0.8754
Co1 Co 0.0745 0.2500 0.6326
Co2 Co 0.2405 0.5046 0.3744
Co3 Co 0.2405 0.9954 0.3744
Co4 Co 0.2595 0.0046 0.8744
Co5 Co 0.2595 0.4954 0.8744
Co6 Co 0.4255 0.7500 0.1326
Co7 Co 0.5745 0.2500 0.8674
Co8 Co 0.7405 0.5046 0.1256
Co9 Co 0.7405 0.9954 0.1256
Co10 Co 0.7595 0.0046 0.6256
Co11 Co 0.7595 0.4954 0.6256
Co12 Co 0.9255 0.7500 0.3674
# DOS(E_F): 12.80 states/eV/cell
# electronic total energy: -260.27 eV for the cell shown
# formation enthalpy at 0 K: 90 meV/atom